Record 1
Compound: RbI2N2
Source: the Alexandria database
Functional: PBE
Structure: optimized geometry

Cell lengths 5.506, 5.506, 7.233 Å; angles 90.00, 90.00, 90.00 degrees
Fractional positions:
Rb 0.000 0.000 0.000
I 0.000 0.000 0.500
I 0.500 0.500 0.500
N 0.000 0.500 0.000
N 0.500 0.000 0.000

Crystal system: tetragonal
Size of the total moment (μB per formula unit): 5.74
E above lowest polymorph (eV/f.u.): 5.05
Energy relative to the elements, uncorrected (eV per atom): 1.7281
Raw total energy (eV per cell): -12.08

Record 2
Compound: YBeHg2H
Source: the Alexandria database
Functional: PBE
Structure: optimized geometry

Cell lengths 4.629, 4.629, 4.225 Å; angles 90.00, 90.00, 90.00 degrees
Fractional positions:
Y 0.000 0.000 0.000
Be 0.500 0.500 0.000
Hg 0.000 0.500 0.500
Hg 0.500 0.000 0.500
H 0.000 0.000 0.500

Crystal system: tetragonal
Size of the total moment (μB per formula unit): 0.00
Raw total energy (eV per cell): -13.45

Record 3
Compound: Pm12PrNd5
Source: the Alexandria database
Functional: PBE
Structure: optimized geometry

Cell lengths 10.616, 10.616, 6.090 Å; angles 90.01, 90.01, 113.69 degrees
Fractional positions:
Pm 0.010 0.344 0.449
Pm 0.156 0.490 0.949
Pm 0.177 0.177 0.050
Pm 0.323 0.323 0.550
Pm 0.344 0.010 0.449
Pm 0.490 0.156 0.949
Pm 0.510 0.844 0.051
Pm 0.656 0.990 0.551
Pm 0.677 0.677 0.450
Pm 0.823 0.823 0.950
Pm 0.844 0.510 0.051
Pm 0.990 0.656 0.551
Pr 0.000 0.000 0.500
Nd 0.167 0.833 0.000
Nd 0.333 0.667 0.500
Nd 0.500 0.500 0.000
Nd 0.667 0.333 0.500
Nd 0.833 0.167 0.000

ΔH_f (0 K) (kJ/mol of atoms): 9.34
Crystal system: monoclinic
Size of the total moment (μB per formula unit): 0.00
Raw total energy (eV per cell): -83.88

Record 4
Compound: NpInB2Rh5
Source: the Alexandria database
Functional: PBE
Structure: optimized geometry

Cell lengths 4.134, 4.134, 8.056 Å; angles 90.00, 90.00, 90.00 degrees
Fractional positions:
Np 0.000 0.000 0.000
In 0.000 0.000 0.500
B 0.500 0.500 0.286
B 0.500 0.500 0.714
Rh 0.000 0.500 0.255
Rh 0.000 0.500 0.745
Rh 0.500 0.000 0.255
Rh 0.500 0.000 0.745
Rh 0.500 0.500 0.000

ΔH_f (0 K) (kJ/mol of atoms): -31.56
Crystal system: tetragonal
Size of the total moment (μB per formula unit): 2.47
Raw total energy (eV per cell): -68.74

Record 5
Compound: KGa3Au3
Source: the Alexandria database
Functional: PBE
Structure: optimized geometry

Cell lengths 7.175, 7.175, 7.175 Å; angles 101.75, 101.75, 101.75 degrees
Fractional positions:
K 0.000 0.000 0.000
K 0.500 0.500 0.500
Ga 0.297 0.897 0.452
Ga 0.397 0.797 0.952
Ga 0.452 0.297 0.897
Ga 0.797 0.952 0.397
Ga 0.897 0.452 0.297
Ga 0.952 0.397 0.797
Au 0.115 0.657 0.636
Au 0.136 0.157 0.615
Au 0.157 0.615 0.136
Au 0.615 0.136 0.157
Au 0.636 0.115 0.657
Au 0.657 0.636 0.115

ΔH_f (0 K) (kJ/mol of atoms): -22.05
Crystal system: trigonal
Size of the total moment (μB per formula unit): 0.00
E above lowest polymorph (eV/f.u.): 0.00
Raw total energy (eV per cell): -43.22

Record 6
Compound: Tm7AlIn4
Source: the Alexandria database
Functional: PBE
Structure: optimized geometry

Cell lengths 7.719, 7.719, 11.067 Å; angles 125.25, 125.25, 41.94 degrees
Fractional positions:
Tm 0.000 0.000 0.000
Tm 0.156 0.156 0.592
Tm 0.284 0.284 0.133
Tm 0.429 0.429 0.683
Tm 0.571 0.571 0.317
Tm 0.716 0.716 0.867
Tm 0.844 0.844 0.408
Al 0.500 0.500 0.000
In 0.066 0.066 0.777
In 0.206 0.206 0.343
In 0.794 0.794 0.657
In 0.934 0.934 0.223

ΔH_f (0 K) (kJ/mol of atoms): -8.32
Crystal system: monoclinic
Size of the total moment (μB per formula unit): 0.00
Raw total energy (eV per cell): -47.03

Which value of size of the total moment does entry 3 give? 0.00 μB per formula unit